# 1
# Sr2ScF

Crystalline Sr2ScF at its relaxed geometry (GGA-PBE, the Alexandria database).

Unit cell a=7.7484 b=7.7484 c=7.1217 alpha=57.04 beta=57.04 gamma=90.00
With the nearest neighbours (Å) after each atom.
Element x y z (fractional)
Sc (0.0000, 0.0000, 0.0000)  8 Sr 3.69-4.04
Sc (0.7500, 0.2500, 0.5000)  8 Sr 3.69-4.04
Sr (0.4976, 0.1250, 0.2500)  2 F 2.44
Sr (0.2524, 0.6250, 0.2500)  2 F 2.44
Sr (0.8750, 0.7476, 0.7500)  2 F 2.44
Sr (0.3750, 0.5024, 0.7500)  2 F 2.44
F (0.5000, 0.5000, 0.0000)  4 Sr 2.44
F (0.2500, 0.7500, 0.5000)  4 Sr 2.44

Results
Crystal system: tetragonal
Energy above the most stable polymorph in this dataset, eV/atom: 0.000

***

# 2
# Sr2ScF

Crystalline Sr2ScF at its relaxed geometry (GGA-PBE, the Alexandria database).

Unit cell a=5.8761 b=5.8761 c=5.8761 alpha=60.00 beta=60.00 gamma=60.00
With the nearest neighbours (Å) after each atom.
Element x y z (fractional)
Sr (0.7500, 0.7500, 0.7500)  4 F 3.60, 4 Sc 3.60
Sr (0.2500, 0.2500, 0.2500)  4 Sc 3.60, 4 F 3.60
Sc (0.5000, 0.5000, 0.5000)  8 Sr 3.60
F (0.0000, 0.0000, 0.0000)  8 Sr 3.60

Results
Crystal system: cubic
Energy above the most stable polymorph in this dataset, eV/atom: 0.809

***

no.,formation energy without anion corrections (kJ per mole of atoms)
1,-100.2
2,-22.1